Here is a relaxed BeCu2 crystal from Alexandria. Energies are from PBE.

Results
- Calculated volume: 10.712 Å³/atom
- Energy: -3.9892 eV per atom
- E_form: -0.02 eV/atom

abc: 11.026 11.026 11.026
angles: 161.96 161.96 25.62
Positions (direct):
Be (0.916, 0.916, 0.000)
Be (0.084, 0.084, 0.000)
Be (0.166, 0.666, 0.500)
Be (0.334, 0.834, 0.500)
Cu (0.749, 0.749, 0.000)
Cu (0.251, 0.251, 0.000)
Cu (0.999, 0.499, 0.500)
Cu (0.501, 0.001, 0.500)
Cu (0.585, 0.585, 0.000)
Cu (0.415, 0.415, 0.000)
Cu (0.835, 0.335, 0.500)
Cu (0.665, 0.165, 0.500)

---

Here is a relaxed Pr6Ag2N crystal from Alexandria. Energies are from PBE.

Results
- Energy relative to the elements, uncorrected: -367 meV/atom
- Calculated volume: 29.045 Å³/atom
- Energy: -5.1118 eV per atom

abc: 6.773 7.424 10.399
angles: 90.00 91.07 90.00
Positions (direct):
Pr (0.884, 0.977, 0.261)
Pr (0.828, 0.706, 0.549)
Pr (0.810, 0.682, 0.952)
Pr (0.690, 0.182, 0.548)
Pr (0.672, 0.206, 0.951)
Pr (0.616, 0.477, 0.239)
Pr (0.116, 0.023, 0.739)
Pr (0.172, 0.294, 0.451)
Pr (0.190, 0.318, 0.048)
Pr (0.310, 0.818, 0.452)
Pr (0.328, 0.794, 0.049)
Pr (0.384, 0.523, 0.761)
Ag (0.941, 0.411, 0.749)
Ag (0.559, 0.911, 0.751)
Ag (0.441, 0.089, 0.249)
Ag (0.059, 0.589, 0.251)
N (0.500, 0.500, 0.000)
N (0.000, 0.000, 0.500)

---

Here is a relaxed In2FeAu crystal from Alexandria. Energies are from PBE.

Results
- Calculated volume: 20.016 Å³/atom
- Energy: -4.1397 eV per atom
- E_form: 0.16 eV/atom
- Energy relative to the lowest polymorph listed for this composition: 74.2 meV/atom

abc: 3.112 3.112 8.269
angles: 90.00 90.00 90.00
Site moments in Bohr magnetons follow the coordinates.
Positions (direct):
Au (0.000, 0.000, 0.539)  0.05
Fe (0.500, 0.500, 0.731)  2.82
In (0.000, 0.000, 0.951)  0.01
In (0.500, 0.500, 0.278)  0.00

---

Here is a relaxed ZnPbNF2 crystal from Alexandria. Energies are from PBE.

Results
- Energy relative to the elements, uncorrected: -856 meV/atom
- Calculated volume: 14.028 Å³/atom
- Energy: -4.2658 eV per atom
- Energy relative to the lowest polymorph listed for this composition: 0.0 meV/atom

abc: 4.099 4.099 4.175
angles: 90.00 90.00 90.00
Site moments in Bohr magnetons follow the coordinates.
Positions (direct):
Pb (0.500, 0.500, 0.500)  0.01
Zn (0.000, 0.000, 0.000)  0.03
N (0.000, 0.000, 0.500)  0.62
F (0.000, 0.500, 0.000)  0.02
F (0.500, 0.000, 0.000)  0.02

---

Here is a relaxed Al4CO crystal from Alexandria. Energies are from PBE.

Results
- Energy relative to the elements, uncorrected: -478 meV/atom
- Calculated volume: 12.887 Å³/atom
- Energy: -5.3367 eV per atom
- Energy relative to the lowest polymorph listed for this composition: 0.0 meV/atom

abc: 2.935 5.074 5.194
angles: 88.04 90.00 90.00
Positions (direct):
Al (0.500, 0.211, 0.605)
Al (0.000, 0.087, 0.088)
Al (0.000, 0.770, 0.573)
Al (0.500, 0.557, 0.023)
C (0.000, 0.426, 0.780)
O (0.000, 0.713, 0.219)

---

Here is a relaxed Tm3Cd2Pt3 crystal from Alexandria. Energies are from PBE.

Results
- Calculated volume: 21.890 Å³/atom
- Energy: -5.1279 eV per atom
- E_form: -0.96 eV/atom

abc: 5.693 8.428 8.428
angles: 120.00 90.00 90.00
Positions (direct):
Tm (0.750, 0.279, 0.000)
Tm (0.750, 0.721, 0.721)
Tm (0.750, 0.000, 0.279)
Tm (0.250, 0.721, 0.000)
Tm (0.250, 0.279, 0.279)
Tm (0.250, 0.000, 0.721)
Cd (0.000, 0.333, 0.667)
Cd (0.500, 0.667, 0.333)
Cd (0.000, 0.667, 0.333)
Cd (0.500, 0.333, 0.667)
Pt (0.750, 0.626, 0.000)
Pt (0.750, 0.374, 0.374)
Pt (0.750, 0.000, 0.626)
Pt (0.250, 0.374, 0.000)
Pt (0.250, 0.626, 0.626)
Pt (0.250, 0.000, 0.374)

---

Here is a relaxed AlZnIn2 crystal from Alexandria. Energies are from PBE.

Results
- Calculated volume: 21.704 Å³/atom
- Energy: -2.4924 eV per atom
- E_form: 0.13 eV/atom

abc: 5.616 5.616 5.353
angles: 72.33 72.33 32.82
Positions (direct):
Zn (0.527, 0.527, 0.527)
Al (0.223, 0.223, 0.223)
In (0.979, 0.979, 0.052)
In (0.770, 0.770, 0.698)

---

Here is a relaxed La2TaBe crystal from Alexandria. Energies are from PBE.

Results
- Calculated volume: 26.063 Å³/atom
- Energy: -5.9672 eV per atom
- E_form: 0.39 eV/atom

abc: 8.733 8.733 3.597
angles: 78.10 78.10 22.87
Positions (direct):
Be (0.250, 0.250, 0.250)
La (0.901, 0.901, 0.111)
La (0.599, 0.599, 0.389)
Ta (0.750, 0.750, 0.750)